[1]
PBEsol Mg4CrFe, optimized geometry; DFT formation energy = 748 meV per atom; uncorrected energy = -3.598 eV per atom
1.0
0.000 3.879 3.879
3.879 0.000 3.879
3.879 3.879 0.000
Mg Cr Fe
4 1 1
Cartesian
0.973 0.973 0.973
2.906 2.906 0.973
2.906 0.973 2.906
0.973 2.906 2.906
5.818 5.818 5.818
3.879 3.879 3.879



[2]
PBEsol MgCr4FeO8, optimized geometry; uncorrected energy = -8.576 eV per atom
1.0
0.000 4.166 4.166
4.166 0.000 4.166
4.166 4.166 0.000
Mg Cr Fe O
1 4 1 8
Cartesian
0.000 0.000 0.000
3.119 3.119 3.119
5.213 5.213 3.119
5.213 3.119 5.213
3.119 5.213 5.213
6.249 6.249 6.249
1.143 1.143 1.143
3.023 3.023 1.143
3.023 1.143 3.023
5.114 3.217 3.217
1.143 3.023 3.023
3.217 5.114 3.217
3.217 3.217 5.114
5.114 5.114 5.114